# 1
Zr6Fe5Co (PBE-GGA, relaxed); space group = Immm, No. 71
1.0
-1.158 4.099 1.442
-6.126 -1.402 -0.935
3.214 -3.691 6.061
Zr Fe Co
6 5 1
direct
0.500 0.749 0.000 Zr
0.167 0.917 0.335 Zr
0.500 0.251 0.000 Zr
0.833 0.083 0.665 Zr
0.167 0.418 0.335 Zr
0.833 0.582 0.665 Zr
0.000 0.500 0.000 Fe
0.667 0.167 0.334 Fe
0.333 0.833 0.666 Fe
0.666 0.666 0.332 Fe
0.334 0.334 0.668 Fe
0.000 0.000 0.000 Co

# 2
ZrFe3Co2 (PBE-GGA, relaxed); space group = P6/mmm, No. 191
1.0
4.023 0.000 0.000
0.000 4.166 -2.399
0.000 -0.006 4.807
Zr Co Fe
1 2 3
direct
0.000 0.001 0.000 Zr
0.000 0.668 0.333 Co
0.000 0.335 0.667 Co
0.500 0.501 0.000 Fe
0.500 0.501 0.500 Fe
0.500 0.001 0.500 Fe

# 3
Zr2FeCo3 (PBE-GGA, relaxed); space group = P6_3/mmc, No. 194
1.0
4.976 0.000 0.000
-2.488 4.309 0.000
0.000 0.000 7.856
Zr Co Fe
4 6 2
direct
0.667 0.333 0.061 Zr
0.333 0.667 0.939 Zr
0.333 0.667 0.561 Zr
0.667 0.333 0.439 Zr
0.832 0.664 0.750 Co
0.336 0.168 0.750 Co
0.168 0.832 0.250 Co
0.168 0.336 0.250 Co
0.664 0.832 0.250 Co
0.832 0.168 0.750 Co
0.000 0.000 0.500 Fe
0.000 0.000 0.000 Fe

no.,size of the total moment (Bohr magnetons per cell),energy relative to the elements (eV per atom)
1,1.78,-0.199
2,8.85,-0.107
3,6.08,-0.294